Compound: RbAcPdO4
Source: Alexandria
Functional: PBE
Structure: optimized geometry

Calculated values
DFT total energy = -81.35 eV for the cell shown
space-group type = P2_1/m, No. 11
E_form (uncorrected) = -1.510 eV per atom

Structure (POSCAR):
```
RbAcPdO4
1.0
6.217 0.000 -0.531
0.000 5.800 0.000
-3.029 0.000 7.898
O Ac Pd Rb
8 2 2 2
Direct
0.082 0.475 0.705
0.615 0.250 0.482
0.385 0.750 0.518
0.918 0.525 0.295
0.082 0.025 0.705
0.918 0.975 0.295
0.384 0.750 0.192
0.616 0.250 0.808
0.234 0.250 0.520
0.766 0.750 0.480
0.139 0.750 0.268
0.861 0.250 0.732
0.500 0.250 0.112
0.500 0.750 0.888
```